The following is a PBE calculation of a relaxed AsI3Cl crystal, from Alexandria via LeMat-Bulk.

Computed properties:
V: 36.53 A^3/atom
N(E_F): 8.1 states/eV per cell
total DFT energy (no corrections): -2.02 eV/atom
formation energy from raw total energies: 4.92 kcal/mol of atoms
ΔE to the lowest computed polymorph: 0.000 eV/f.u.

Cell: 5.6739 5.6739 5.6739 Å, 90.00 90.00 90.00°
Space group Pm-3m (No. 221)
Inequivalent atoms, fractional coordinates:
1 As 0.0000 0.0000 0.0000 [1 per cell]
2 I 0.0000 0.0000 0.5000 [3 per cell]
3 Cl 0.5000 0.5000 0.5000 [1 per cell]